1.
# Ba2SnHCl | the Alexandria database | PBE-GGA | relaxed
data_Ba2SnHCl
_chemical_formula_sum 'Ba2 Sn1 H1 Cl1'
_cell_length_a 6.146
_cell_length_b 6.146
_cell_length_c 5.198
_cell_angle_alpha 90.00
_cell_angle_beta 90.00
_cell_angle_gamma 90.00
_space_group_name_H-M_alt 'P 4/m m m'
_space_group_IT_number 123
_space_group_name_Hall '-P 4 2'
loop_
_atom_site_label
_atom_site_type_symbol
_atom_site_fract_x
_atom_site_fract_y
_atom_site_fract_z
Ba1 Ba 0.000 0.500 0.000
Sn1 Sn 0.000 0.000 0.500
H1 H 0.500 0.500 0.500
Cl1 Cl 0.000 0.000 0.000
# E_tot in eV per atom: -2.824
# Total magnetic moment in μB/f.u.: 0.00

=====

2.
# Pm5Ni4Ir | the Alexandria database | PBE-GGA | relaxed
data_Pm5Ni4Ir
_chemical_formula_sum 'Pm5 Ni4 Ir1'
_cell_length_a 3.485
_cell_length_b 3.485
_cell_length_c 17.458
_cell_angle_alpha 90.00
_cell_angle_beta 90.00
_cell_angle_gamma 90.00
_space_group_name_H-M_alt 'P 4/m m m'
_space_group_IT_number 123
_space_group_name_Hall '-P 4 2'
loop_
_atom_site_label
_atom_site_type_symbol
_atom_site_fract_x
_atom_site_fract_y
_atom_site_fract_z
Pm1 Pm 0.000 0.000 0.000
Pm2 Pm 0.000 0.000 0.199
Pm3 Pm 0.000 0.000 0.400
Ni1 Ni 0.500 0.500 0.099
Ni2 Ni 0.500 0.500 0.295
Ir1 Ir 0.500 0.500 0.500
# ΔE_f in kJ per mole of atoms: -31.68
# Total magnetic moment in μB/f.u.: 0.00

=====

3.
# Li2SmYTe4 | the Alexandria database | PBE-GGA | relaxed
data_Li2SmYTe4
_chemical_formula_sum 'Li2 Sm1 Y1 Te4'
_cell_length_a 7.509
_cell_length_b 4.383
_cell_length_c 7.586
_cell_angle_alpha 90.00
_cell_angle_beta 109.65
_cell_angle_gamma 90.00
_space_group_name_H-M_alt 'P 1 2/m 1'
_space_group_IT_number 10
loop_
_space_group_symop_operation_xyz
'x,y,z'
'-x,-y,-z'
'-x,y,-z'
'x,-y,z'
loop_
_atom_site_label
_atom_site_type_symbol
_atom_site_fract_x
_atom_site_fract_y
_atom_site_fract_z
Li1 Li 0.000 0.000 0.000
Li2 Li 0.000 0.500 0.500
Sm1 Sm 0.500 0.000 0.500
Y1 Y 0.500 0.500 0.000
Te1 Te 0.241 0.500 0.243
Te2 Te 0.243 0.000 0.752
# Total magnetic moment in μB/f.u.: 0.00
# ΔE_f (raw) in meV per atom: -1301

=====

4.
# VCdIn3 | the Alexandria database | PBE-GGA | relaxed
data_VCdIn3
_chemical_formula_sum 'V1 Cd1 In3'
_cell_length_a 5.348
_cell_length_b 5.348
_cell_length_c 5.348
_cell_angle_alpha 90.00
_cell_angle_beta 90.00
_cell_angle_gamma 90.00
_space_group_name_H-M_alt 'P m -3 m'
_space_group_IT_number 221
_space_group_name_Hall '-P 4 2 3'
loop_
_atom_site_label
_atom_site_type_symbol
_atom_site_fract_x
_atom_site_fract_y
_atom_site_fract_z
V1 V 0.000 0.000 0.000
Cd1 Cd 0.500 0.500 0.500
In1 In 0.000 0.000 0.500
# ΔE_f in kJ per mole of atoms: 45.44
# Total magnetic moment in μB/f.u.: 3.69
# Relative energy among the computed polymorphs in meV/atom: 0

=====

5.
# CsGePb3 | the Alexandria database | PBE-GGA | relaxed
data_CsGePb3
_chemical_formula_sum 'Cs1 Ge1 Pb3'
_cell_length_a 6.283
_cell_length_b 6.283
_cell_length_c 6.283
_cell_angle_alpha 90.00
_cell_angle_beta 90.00
_cell_angle_gamma 90.00
_space_group_name_H-M_alt 'P m -3 m'
_space_group_IT_number 221
_space_group_name_Hall '-P 4 2 3'
loop_
_atom_site_label
_atom_site_type_symbol
_atom_site_fract_x
_atom_site_fract_y
_atom_site_fract_z
Cs1 Cs 0.000 0.000 0.000
Ge1 Ge 0.500 0.500 0.500
Pb1 Pb 0.000 0.000 0.500
# ΔE_f in kJ per mole of atoms: 143.16
# Total magnetic moment in μB/f.u.: 0.00
# Relative energy among the computed polymorphs in meV/atom: 1249

=====

6.
# NaRe3C | the Alexandria database | PBE-GGA | relaxed
data_NaRe3C
_chemical_formula_sum 'Na1 Re3 C1'
_cell_length_a 4.473
_cell_length_b 4.473
_cell_length_c 4.473
_cell_angle_alpha 90.00
_cell_angle_beta 90.00
_cell_angle_gamma 90.00
_space_group_name_H-M_alt 'P m -3 m'
_space_group_IT_number 221
_space_group_name_Hall '-P 4 2 3'
loop_
_atom_site_label
_atom_site_type_symbol
_atom_site_fract_x
_atom_site_fract_y
_atom_site_fract_z
Na1 Na 0.000 0.000 0.000
Re1 Re 0.000 0.000 0.500
C1 C 0.500 0.500 0.500
# ΔE_f in kJ per mole of atoms: 433.96
# Total magnetic moment in μB/f.u.: 3.46
# Relative energy among the computed polymorphs in meV/atom: 3692

=====

7.
# SiOs3Br | the Alexandria database | PBE-GGA | relaxed
data_SiOs3Br
_chemical_formula_sum 'Si1 Os3 Br1'
_cell_length_a 4.497
_cell_length_b 4.497
_cell_length_c 4.497
_cell_angle_alpha 90.00
_cell_angle_beta 90.00
_cell_angle_gamma 90.00
_space_group_name_H-M_alt 'P m -3 m'
_space_group_IT_number 221
_space_group_name_Hall '-P 4 2 3'
loop_
_atom_site_label
_atom_site_type_symbol
_atom_site_fract_x
_atom_site_fract_y
_atom_site_fract_z
Si1 Si 0.000 0.000 0.000
Os1 Os 0.000 0.000 0.500
Br1 Br 0.500 0.500 0.500
# Total magnetic moment in μB/f.u.: 2.58
# Relative energy among the computed polymorphs in meV/atom: 0
# ΔE_f (raw) in meV per atom: 1798

=====

8.
# Cs3Y2SnSe6 | the Alexandria database | PBE-GGA | relaxed
data_Cs3Y2SnSe6
_chemical_formula_sum 'Cs6 Y4 Sn2 Se12'
_cell_length_a 7.431
_cell_length_b 12.874
_cell_length_c 8.706
_cell_angle_alpha 90.00
_cell_angle_beta 106.51
_cell_angle_gamma 90.00
_space_group_name_H-M_alt 'C 1 2/m 1'
_space_group_IT_number 12
loop_
_space_group_symop_operation_xyz
'x,y,z'
'-x,-y,-z'
'-x,y,-z'
'x,-y,z'
'x+1/2,y+1/2,z'
'-x+1/2,-y+1/2,-z'
'-x+1/2,y+1/2,-z'
'x+1/2,-y+1/2,z'
loop_
_atom_site_label
_atom_site_type_symbol
_atom_site_fract_x
_atom_site_fract_y
_atom_site_fract_z
Cs1 Cs 0.000 0.000 0.000
Cs2 Cs 0.000 0.334 0.000
Y1 Y 0.000 0.167 0.500
Sn1 Sn 0.000 0.500 0.500
Se1 Se 0.227 0.000 0.685
Se2 Se 0.229 0.333 0.685
# Total magnetic moment in μB/f.u.: 0.00
# ΔE_f (raw) in meV per atom: -1378

=====

9.
# K2Pt4W | the Alexandria database | PBE-GGA | relaxed
data_K2Pt4W
_chemical_formula_sum 'K4 Pt8 W2'
_cell_length_a 4.970
_cell_length_b 4.970
_cell_length_c 16.572
_cell_angle_alpha 90.00
_cell_angle_beta 90.00
_cell_angle_gamma 90.00
_space_group_name_H-M_alt 'I 4/m m m'
_space_group_IT_number 139
_space_group_name_Hall '-I 4 2'
loop_
_atom_site_label
_atom_site_type_symbol
_atom_site_fract_x
_atom_site_fract_y
_atom_site_fract_z
K1 K 0.000 0.000 0.145
Pt1 Pt 0.000 0.000 0.356
Pt2 Pt 0.000 0.500 0.000
W1 W 0.000 0.000 0.500
# ΔE_f in kJ per mole of atoms: 49.96
# Total magnetic moment in μB/f.u.: 0.00

=====

10.
# Sc2TlSb | the Alexandria database | PBE-GGA | relaxed
data_Sc2TlSb
_chemical_formula_sum 'Sc8 Tl4 Sb4'
_cell_length_a 7.405
_cell_length_b 7.405
_cell_length_c 7.405
_cell_angle_alpha 90.00
_cell_angle_beta 90.00
_cell_angle_gamma 90.00
_space_group_name_H-M_alt 'F -4 3 m'
_space_group_IT_number 216
_space_group_name_Hall 'F -4 2 3'
loop_
_atom_site_label
_atom_site_type_symbol
_atom_site_fract_x
_atom_site_fract_y
_atom_site_fract_z
Sc1 Sc 0.000 0.000 0.000
Sc2 Sc 0.250 0.250 0.250
Tl1 Tl 0.250 0.250 0.750
Sb1 Sb 0.000 0.000 0.500
# Total magnetic moment in μB/f.u.: 1.67
# Relative energy among the computed polymorphs in meV/atom: 539
# ΔE_f (raw) in meV per atom: 20

=====

11.
# PmCo2As2 | the Alexandria database | PBE-GGA | relaxed
data_PmCo2As2
_chemical_formula_sum 'Pm2 Co4 As4'
_cell_length_a 4.039
_cell_length_b 4.039
_cell_length_c 10.160
_cell_angle_alpha 90.00
_cell_angle_beta 90.00
_cell_angle_gamma 90.00
_space_group_name_H-M_alt 'I 4/m m m'
_space_group_IT_number 139
_space_group_name_Hall '-I 4 2'
loop_
_atom_site_label
_atom_site_type_symbol
_atom_site_fract_x
_atom_site_fract_y
_atom_site_fract_z
Pm1 Pm 0.000 0.000 0.000
Co1 Co 0.000 0.500 0.250
As1 As 0.000 0.000 0.366
# ΔE_f in kJ per mole of atoms: -70.56
# Total magnetic moment in μB/f.u.: 1.66

=====

12.
# TbMg2Pd9 | the Alexandria database | PBE-GGA | relaxed
data_TbMg2Pd9
_chemical_formula_sum 'Tb1 Mg2 Pd9'
_cell_length_a 4.051
_cell_length_b 4.051
_cell_length_c 11.943
_cell_angle_alpha 90.00
_cell_angle_beta 90.00
_cell_angle_gamma 90.00
_space_group_name_H-M_alt 'P 4/m m m'
_space_group_IT_number 123
_space_group_name_Hall '-P 4 2'
loop_
_atom_site_label
_atom_site_type_symbol
_atom_site_fract_x
_atom_site_fract_y
_atom_site_fract_z
Tb1 Tb 0.000 0.000 0.000
Mg1 Mg 0.000 0.000 0.339
Pd1 Pd 0.000 0.500 0.177
Pd2 Pd 0.000 0.500 0.500
Pd3 Pd 0.500 0.500 0.000
Pd4 Pd 0.500 0.500 0.339
# ΔE_f in kJ per mole of atoms: -57.37
# Total magnetic moment in μB/f.u.: 0.00

=====

total magnetic moment of number 5 (CsGePb3)?
0.00 μB/f.u.

=====

Which formula does entry 11 have?
PmCo2As2

=====

total magnetic moment of number 2 (Pm5Ni4Ir)?
0.00 μB/f.u.